Compound: Sr2AlMo
Source: the Alexandria database
Functional: GGA-PBE
Structure: optimized geometry

The total energy is -14.778 eV for the cell shown. For the formation energy, the calculation gives 790 meV per atom.

```
Sr2AlMo
1.0
-2.258 2.258 5.033
2.258 -2.258 5.033
2.258 2.258 -5.033
Sr Al Mo
2 1 1
direct
0.250 0.750 0.500 Sr
0.750 0.250 0.500 Sr
0.000 0.000 0.000 Al
0.500 0.500 0.000 Mo
```

Compound: Sr2AlMo
Source: the Alexandria database
Functional: GGA-PBE
Structure: optimized geometry

The total energy is -16.680 eV for the cell shown. For the formation energy, the calculation gives 314 meV per atom.

```
Sr2AlMo
1.0
3.627 0.000 0.000
0.000 3.627 0.000
0.000 0.000 9.063
Sr Al Mo
2 1 1
direct
0.000 0.000 0.000 Sr
0.500 0.500 0.399 Sr
0.000 0.000 0.667 Al
0.500 0.500 0.739 Mo
```